Compound: HoTm2Sb
Source: the Alexandria database
Functional: PBE
Structure: relaxed

abc: 4.7375 4.7375 4.7296
angles: 90.00 90.00 90.00
Fractional positions:
Ho: 0.0000 0.0000 0.0000
Tm: 0.0000 0.5000 0.5000
Tm: 0.5000 0.0000 0.5000
Sb: 0.5000 0.5000 0.0000

Output
* density: 9.8 g cm⁻³
* space-group type: P4/mmm (123)
* energy above the most stable polymorph in this dataset: 92 meV per atom
* formation energy from raw total energies: -442 meV per atom

Compound: Ho2Tm5Sb4
Source: the Alexandria database
Functional: PBE
Structure: relaxed

abc: 12.9197 12.9197 7.1986
angles: 91.46 91.46 16.10
Fractional positions:
Ho: 0.2365 0.2365 0.2821
Ho: 0.7635 0.7635 0.7179
Tm: 0.0896 0.0896 0.1976
Tm: 0.1412 0.1412 0.6604
Tm: 0.5000 0.5000 0.5000
Tm: 0.8588 0.8588 0.3396
Tm: 0.9104 0.9104 0.8024
Sb: 0.0328 0.0328 0.8165
Sb: 0.3284 0.3284 0.9984
Sb: 0.6716 0.6716 0.0016
Sb: 0.9672 0.9672 0.1835

Output
* density: 8.3 g cm⁻³
* space-group type: C2/m (12)
* formation energy from raw total energies: -411 meV per atom

Compound: Ho2TmSb
Source: the Alexandria database
Functional: PBE
Structure: relaxed

abc: 4.7426 4.7426 4.7550
angles: 90.00 90.00 90.00
Fractional positions:
Ho: 0.0000 0.5000 0.0000
Ho: 0.5000 0.0000 0.0000
Tm: 0.0000 0.0000 0.5000
Sb: 0.5000 0.5000 0.5000

Output
* density: 9.6 g cm⁻³
* space-group type: P4/mmm (123)
* energy above the most stable polymorph in this dataset: 74 meV per atom
* formation energy from raw total energies: -453 meV per atom

The lowest formation energy from raw total energies belongs to which entry?
Ho2TmSb

formation energy from raw total energies of number 1 (HoTm2Sb)?
-442 meV per atom

What is the density in the second record?
8.3 g cm⁻³

The lowest density belongs to which entry?
Ho2Tm5Sb4